[1]
Ca2TiMnO6 at its PBEsol-relaxed geometry, computed with meta-GGA SCAN.

```
10
Lattice="-2.441 2.217 4.113 4.299 -3.053 0.819 4.537 2.236 1.488" Properties=species:S:1:pos:R:3 pbc="T T T"
O 0.911 1.133 1.281
O 2.877 2.472 2.458
O 1.446 0.720 3.849
Ca 2.673 -0.413 1.810
O 1.185 3.320 4.320
Ti 0.000 0.000 0.000
Mn 1.048 2.226 2.800
O 4.948 0.680 2.571
O -0.782 1.981 3.142
Ca 3.721 1.813 4.610
```

Computed properties:
total DFT energy (no corrections) = -121.83 eV for the cell shown
energy above the most stable polymorph in this dataset = 12 meV/atom
energy relative to the elements, uncorrected = -3.083 eV/atom
density of states at the Fermi level = 0.00 states/eV/atom
size of the total moment = 3.035 μB/f.u.



[2]
CaTmMn2O6 at its PBEsol-relaxed geometry, computed with meta-GGA SCAN.

```
20
Lattice="5.193 0.000 0.000 0.000 5.415 0.000 0.000 0.000 7.410" Properties=species:S:1:pos:R:3 pbc="T T T"
O 3.138 1.232 3.705
Mn 2.600 1.329 5.555
O 1.006 0.293 5.181
O 0.541 4.183 0.000
O 3.602 5.122 1.476
Tm 2.695 3.688 0.000
Mn 0.003 4.086 1.850
Tm 0.099 1.727 3.705
O 1.510 2.914 2.191
O 3.602 5.122 5.934
O 4.106 2.501 1.514
Mn 0.003 4.086 5.560
O 4.773 3.905 3.705
O 1.006 0.293 2.229
O 1.510 2.914 5.219
Mn 2.600 1.329 1.855
Ca 5.130 1.060 0.000
O 4.106 2.501 5.896
Ca 2.533 4.355 3.705
O 2.176 1.510 0.000
```

Computed properties:
total DFT energy (no corrections) = -329.51 eV for the cell shown
energy above the most stable polymorph in this dataset = 3 meV/atom
energy relative to the elements, uncorrected = -2.936 eV/atom
density of states at the Fermi level = 0.15 states/eV/atom
size of the total moment = 7.000 μB/f.u.



[3]
CaTmMn2O6 at its PBEsol-relaxed geometry, computed with meta-GGA SCAN.

```
20
Lattice="5.186 0.000 0.000 0.000 5.401 0.000 0.000 0.000 7.453" Properties=species:S:1:pos:R:3 pbc="T T T"
O 0.293 3.766 2.106
O 3.487 2.819 3.726
O 1.698 0.119 3.726
Ca 3.954 5.114 3.726
Tm 1.376 3.070 0.000
O 4.893 1.065 2.106
O 2.355 1.595 1.430
Mn 1.277 0.011 5.582
Mn 3.908 2.712 1.871
O 2.831 4.295 6.023
Mn 3.908 2.712 5.582
O 0.293 3.766 5.346
O 2.355 1.595 6.023
Tm 3.810 0.370 0.000
O 0.788 5.255 0.000
Ca 1.232 2.414 3.726
O 2.831 4.295 1.430
O 4.893 1.065 5.346
Mn 1.277 0.011 1.871
O 4.398 2.555 0.000
```

Computed properties:
total DFT energy (no corrections) = -329.57 eV for the cell shown
energy above the most stable polymorph in this dataset = 0 meV/atom
energy relative to the elements, uncorrected = -2.939 eV/atom
density of states at the Fermi level = 0.14 states/eV/atom
size of the total moment = 7.000 μB/f.u.